Record 1
This record from the Alexandria database describes a geometry-optimized Na3AlI structure. The functional is GGA-PBE.

It has space group Pm-3m (No. 221), with a = 5.8985 Å, b = 5.8985 Å, c = 5.8985 Å, α = 90.00°, β = 90.00° and γ = 90.00°. The distinct sites, in fractional coordinates, are Na at (0.0000, 0.0000, 0.5000), Al at (0.5000, 0.5000, 0.5000) and I at (0.0000, 0.0000, 0.0000).

Its theoretical density is 1.8 g/cm³. The calculation puts the energy above the most stable polymorph in this dataset at 0.000 eV/atom. The crystal system is cubic. The uncorrected formation energy is 26 meV/atom.

=====

Record 2
This record from the Alexandria database describes a geometry-optimized Ta2InCoCu structure. The functional is GGA-PBE.

It has space group P4/mmm (No. 123), with a = 4.5413 Å, b = 4.5413 Å, c = 4.5158 Å, α = 90.00°, β = 90.00° and γ = 90.00°. The distinct sites, in fractional coordinates, are Ta at (0.0000, 0.5000, 0.0000), In at (0.0000, 0.0000, 0.5000), Co at (0.5000, 0.5000, 0.0000) and Cu at (0.5000, 0.5000, 0.5000).

Its theoretical density is 10.7 g/cm³. The crystal system is tetragonal. The value obtained for the calculated formation energy is 15.39 kcal/mol of atoms.